# DyFeO3

Crystalline DyFeO3 at its relaxed geometry (GGA+U, the Alexandria database).

```
10
Lattice="4.829 -2.131 0.000 4.829 2.131 0.000 -3.033 0.000 6.459" Properties=species:S:1:pos:R:3 pbc="T T T"
Dy -0.425 0.000 1.941
Dy 7.050 0.000 4.518
Fe 0.313 0.000 5.960
Fe 6.312 0.000 0.499
O -0.405 0.000 4.132
O 1.468 0.000 0.303
O 2.195 0.000 5.194
O 4.430 0.000 1.265
O 5.157 0.000 6.156
O 7.030 0.000 2.327
```

Computed properties:
energy	-37.48	eV per formula unit
D(E_F)	0.0	states/eV per cell
V	132.9	Å³/cell